A plane-wave DFT calculation with PBE was carried out for a relaxed Al5Ni24 crystal.

Summary:
The space group is No. 217.

abc: 7.4836 7.4836 7.4836
angles: 109.47 109.47 109.47
Last column: nearest neighbours and their distance in Å.
Element x y z (fractional)
Al: 0.6260 0.0000 0.0000  9 Ni 2.40-2.67
Ni: 0.2765 0.5941 0.5941  7 Ni 2.34-2.53, 1 Al 2.40
Ni: 0.6264 0.6264 0.8160  6 Ni 2.25-2.47
Ni: 0.6264 0.8160 0.6264  6 Ni 2.25-2.47
Al: 0.0000 0.0000 0.6260  9 Ni 2.40-2.67
Ni: 0.6824 0.4059 0.0000  7 Ni 2.34-2.53, 1 Al 2.40
Ni: 0.8160 0.6264 0.6264  6 Ni 2.25-2.47
Ni: 0.7235 0.3176 0.3176  7 Ni 2.34-2.53, 1 Al 2.40
Al: 0.0000 0.6260 0.0000  9 Ni 2.40-2.67
Ni: 0.0000 0.4059 0.6824  7 Ni 2.34-2.53, 1 Al 2.40
Ni: 0.1840 0.8104 0.8104  6 Ni 2.25-2.47
Ni: 0.5941 0.5941 0.2765  7 Ni 2.34-2.53, 1 Al 2.40
Ni: 0.3176 0.3176 0.7235  7 Ni 2.34-2.53, 1 Al 2.40
Ni: 0.3736 0.0000 0.1896  6 Ni 2.25-2.47
Al: 0.3740 0.3740 0.3740  9 Ni 2.40-2.67
Ni: 0.0000 0.6824 0.4059  7 Ni 2.34-2.53, 1 Al 2.40
Ni: 0.3736 0.1896 0.0000  6 Ni 2.25-2.47
Al: 0.0000 0.0000 0.0000  12 Ni 2.68, 4 Al 2.80
Ni: 0.4059 0.6824 0.0000  7 Ni 2.34-2.53, 1 Al 2.40
Ni: 0.0000 0.1896 0.3736  6 Ni 2.25-2.47
Ni: 0.4059 0.0000 0.6824  7 Ni 2.34-2.53, 1 Al 2.40
Ni: 0.1896 0.0000 0.3736  6 Ni 2.25-2.47
Ni: 0.0000 0.3736 0.1896  6 Ni 2.25-2.47
Ni: 0.8104 0.8104 0.1840  6 Ni 2.25-2.47
Ni: 0.8104 0.1840 0.8104  6 Ni 2.25-2.47
Ni: 0.5941 0.2765 0.5941  7 Ni 2.34-2.53, 1 Al 2.40
Ni: 0.1896 0.3736 0.0000  6 Ni 2.25-2.47
Ni: 0.6824 0.0000 0.4059  7 Ni 2.34-2.53, 1 Al 2.40
Ni: 0.3176 0.7235 0.3176  7 Ni 2.34-2.53, 1 Al 2.40



A plane-wave DFT calculation with PBE was carried out for a relaxed AlNi2Os crystal.

Summary:
The space group is No. 216.

abc: 4.1245 4.1245 4.1245
angles: 60.00 60.00 60.00
Last column: nearest neighbours and their distance in Å.
Element x y z (fractional)
Ni: 0.0000 0.0000 0.0000  4 Ni 2.53, 4 Os 2.53
Ni: 0.7500 0.7500 0.7500  4 Ni 2.53, 4 Al 2.53
Os: 0.2500 0.2500 0.2500  4 Al 2.53, 4 Ni 2.53
Al: 0.5000 0.5000 0.5000  4 Os 2.53, 4 Ni 2.53



A plane-wave DFT calculation with PBE was carried out for a relaxed AlNiOs2 crystal.

Summary:
The space group is No. 216.

abc: 4.2314 4.2314 4.2314
angles: 60.00 60.00 60.00
Last column: nearest neighbours and their distance in Å.
Element x y z (fractional)
Ni: 0.2500 0.2500 0.2500  4 Al 2.59, 4 Os 2.59
Os: 0.7500 0.7500 0.7500  4 Al 2.59, 4 Os 2.59
Os: 0.0000 0.0000 0.0000  4 Ni 2.59, 4 Os 2.59
Al: 0.5000 0.5000 0.5000  4 Ni 2.59, 4 Os 2.59



A plane-wave DFT calculation with PBE was carried out for a relaxed AlNiOsPt crystal.

Summary:
The space group is No. 216.

abc: 4.2979 4.2979 4.2979
angles: 60.00 60.00 60.00
Last column: nearest neighbours and their distance in Å.
Element x y z (fractional)
Pt: 0.2500 0.2500 0.2500  4 Al 2.63, 4 Os 2.63
Os: 0.5000 0.5000 0.5000  4 Ni 2.63, 4 Pt 2.63
Ni: 0.7500 0.7500 0.7500  4 Os 2.63, 4 Al 2.63
Al: 0.0000 0.0000 0.0000  4 Pt 2.63, 4 Ni 2.63



A plane-wave DFT calculation with PBE was carried out for a relaxed AlNi4PPd crystal.

Summary:
The space group is No. 123.

abc: 3.6523 3.6523 6.3838
angles: 90.00 90.00 90.00
Last column: nearest neighbours and their distance in Å.
Element x y z (fractional)
Ni: 0.0000 0.5000 0.7018  2 P 2.23
Ni: 0.5000 0.0000 0.7018  2 P 2.23
Pd: 0.5000 0.5000 0.0000  4 Al 2.58, 8 Ni 2.64
Al: 0.0000 0.0000 0.0000  4 Pd 2.58, 8 Ni 2.64
P: 0.5000 0.5000 0.5000  8 Ni 2.23
Ni: 0.5000 0.0000 0.2982  2 P 2.23
Ni: 0.0000 0.5000 0.2982  2 P 2.23



A plane-wave DFT calculation with PBE was carried out for a relaxed Pa2AlNi2 crystal.

Summary:
The space group is No. 127.

abc: 7.2288 7.2288 3.5353
angles: 90.00 90.00 90.00
Last column: nearest neighbours and their distance in Å.
Element x y z (fractional)
Ni: 0.8726 0.6274 0.0000  1 Ni 2.61, 6 Pa 2.66-2.85, 2 Al 2.85
Al: 0.0000 0.0000 0.0000  4 Ni 2.85
Ni: 0.6274 0.1274 0.0000  1 Ni 2.61, 6 Pa 2.66-2.85, 2 Al 2.85
Pa: 0.6776 0.8224 0.5000  6 Ni 2.66-2.85
Ni: 0.1274 0.3726 0.0000  1 Ni 2.61, 6 Pa 2.66-2.85, 2 Al 2.85
Pa: 0.3224 0.1776 0.5000  6 Ni 2.66-2.85
Pa: 0.8224 0.3224 0.5000  6 Ni 2.66-2.85
Al: 0.5000 0.5000 0.0000  4 Ni 2.85
Ni: 0.3726 0.8726 0.0000  1 Ni 2.61, 6 Pa 2.66-2.85, 2 Al 2.85
Pa: 0.1776 0.6776 0.5000  6 Ni 2.66-2.85



A plane-wave DFT calculation with PBE was carried out for a relaxed PaAlNi crystal.

Summary:
The space group is No. 216.

abc: 4.5497 4.5497 4.5497
angles: 60.00 60.00 60.00
Last column: nearest neighbours and their distance in Å.
Element x y z (fractional)
Ni: 0.7500 0.7500 0.7500  4 Pa 2.79
Pa: 0.0000 0.0000 0.0000  4 Al 2.79, 4 Ni 2.79
Al: 0.2500 0.2500 0.2500  4 Pa 2.79



A plane-wave DFT calculation with PBE was carried out for a relaxed PaAlNi crystal.

Summary:
The space group is No. 216.

abc: 4.3966 4.3966 4.3966
angles: 60.00 60.00 60.00
Last column: nearest neighbours and their distance in Å.
Element x y z (fractional)
Al: 0.0000 0.0000 0.0000  4 Ni 2.69
Ni: 0.2500 0.2500 0.2500  4 Pa 2.69, 4 Al 2.69
Pa: 0.5000 0.5000 0.5000  4 Ni 2.69



| no. | E_tot (eV/atom) |
| --- | --- |
| 1 | -5.422 |
| 2 | -6.643 |
| 3 | -7.918 |
| 4 | -6.650 |
| 5 | -5.801 |
| 6 | -7.250 |
| 7 | -5.665 |
| 8 | -6.598 |